Below is Sm3Mg3AlGa2 after structural relaxation, with properties calculated at the PBE-GGA level.

Output
- Uncorrected energy: -32.6 eV/cell

Cell: 7.4109 7.4109 4.5446 Å, 90.00 90.00 120.00°
Atoms (fractional coordinates):
Al1 0.0000 0.0000 0.0000
Ga1 0.6667 0.3333 0.5000
Ga2 0.3333 0.6667 0.5000
Mg1 0.2448 0.0000 0.5000
Mg2 0.0000 0.2448 0.5000
Mg3 0.7552 0.7552 0.5000
Sm1 0.5703 0.0000 0.0000
Sm2 0.4297 0.4297 0.0000
Sm3 0.0000 0.5703 0.0000

Below is HfZr2Zn after structural relaxation, with properties calculated at the PBE-GGA level.

Output
- Energy relative to the elements: 55 meV/atom
- Uncorrected energy: -28.1 eV/cell

Cell: 4.8586 4.8586 4.8586 Å, 60.00 60.00 60.00°
Atoms (fractional coordinates):
Hf1 0.7500 0.7500 0.7500
Zn1 0.5000 0.5000 0.5000
Zr1 0.0000 0.0000 0.0000
Zr2 0.2500 0.2500 0.2500

Below is Lu2Zr4Zn3N3 after structural relaxation, with properties calculated at the PBE-GGA level.

Output
- Uncorrected energy: -168.0 eV/cell

Cell: 5.6955 5.6955 14.6764 Å, 101.11 90.09 119.97°
Atoms (fractional coordinates):
Lu1 0.3721 0.5703 0.1057
Lu2 0.4646 0.7665 0.3943
Lu3 0.5354 0.2335 0.6057
Lu4 0.6279 0.4297 0.8943
N1 0.3383 0.1766 0.0000
N2 0.0000 0.5000 0.0000
N3 0.6617 0.8234 0.0000
N4 0.1766 0.8382 0.4999
N5 0.5000 0.5000 0.5000
N6 0.8234 0.1618 0.5001
Zn1 0.4160 0.1354 0.2497
Zn2 0.9416 0.1916 0.2500
Zn3 0.8856 0.6663 0.2503
Zn4 0.1144 0.3337 0.7497
Zn5 0.0584 0.8084 0.7500
Zn6 0.5840 0.8646 0.7503
Zr1 0.0237 0.8850 0.0830
Zr2 0.6936 0.2250 0.0831
Zr3 0.1420 0.1105 0.4169
Zr4 0.8020 0.4406 0.4170
Zr5 0.1980 0.5594 0.5830
Zr6 0.8580 0.8895 0.5831
Zr7 0.3064 0.7750 0.9169
Zr8 0.9763 0.1150 0.9170

Below is SbMo after structural relaxation, with properties calculated at the PBE-GGA level.

Output
- Uncorrected energy: -13.4 eV/cell

Cell: 3.9168 3.9168 3.9168 Å, 60.00 60.00 60.00°
Each line ends with the local moment (μB).
Atoms (fractional coordinates):
Mo1 0.0000 0.0000 0.0000  1.04
Sb1 0.5000 0.5000 0.5000  -0.07

Below is TbGd2N3 after structural relaxation, with properties calculated at the PBE-GGA level.

Output
- Uncorrected energy: -48.7 eV/cell

Cell: 3.4972 3.4972 8.5737 Å, 90.00 90.00 120.00°
Atoms (fractional coordinates):
Gd1 0.6667 0.3333 0.1668
Gd2 0.3333 0.6667 0.8332
N1 0.0000 0.0000 0.0000
N2 0.3333 0.6667 0.3337
N3 0.6667 0.3333 0.6663
Tb1 0.0000 0.0000 0.5000

Below is CsGaAu after structural relaxation, with properties calculated at the PBE-GGA level.

Output
- Uncorrected energy: -5.6 eV/cell
- Relative energy among the computed polymorphs: 80.0 kJ per mole of atoms

Cell: 5.7005 5.7005 5.7005 Å, 60.00 60.00 60.00°
Atoms (fractional coordinates):
Au1 0.2500 0.2500 0.2500
Cs1 0.0000 0.0000 0.0000
Ga1 0.7500 0.7500 0.7500

Below is NaReTePb after structural relaxation, with properties calculated at the PBE-GGA level.

Output
- Uncorrected energy: -18.4 eV/cell
- Relative energy among the computed polymorphs: 0.0 kJ per mole of atoms

Cell: 4.9017 4.9017 4.9017 Å, 60.00 60.00 60.00°
Atoms (fractional coordinates):
Na1 0.7500 0.7500 0.7500
Pb1 0.5000 0.5000 0.5000
Re1 0.2500 0.2500 0.2500
Te1 0.0000 0.0000 0.0000

Below is CoS2 after structural relaxation, with properties calculated at the PBE-GGA level.

Output
- Uncorrected energy: -32.3 eV/cell

Cell: 10.2249 10.2249 10.2249 Å, 18.47 18.47 18.47°
Atoms (fractional coordinates):
Co1 0.0810 0.0810 0.0810
Co2 0.9190 0.9190 0.9190
S1 0.2127 0.2127 0.2127
S2 0.3750 0.3750 0.3750
S3 0.6250 0.6250 0.6250
S4 0.7873 0.7873 0.7873

Below is TaNb6Sn after structural relaxation, with properties calculated at the PBE-GGA level.

Output
- Uncorrected energy: -77.3 eV/cell

Cell: 5.3066 5.3077 5.3078 Å, 90.00 90.04 90.05°
Atoms (fractional coordinates):
Nb1 0.2433 0.4999 0.0000
Nb2 0.7567 0.5001 0.0000
Nb3 0.5001 0.0000 0.2434
Nb4 0.9996 0.2434 0.4999
Nb5 0.0004 0.7566 0.5001
Nb6 0.4999 0.0000 0.7566
Sn1 0.5000 0.5000 0.5000
Ta1 0.0000 0.0000 0.0000

Below is ZrSnSb after structural relaxation, with properties calculated at the PBE-GGA level.

Output
- Uncorrected energy: -16.6 eV/cell

Cell: 4.9476 4.9476 4.9476 Å, 60.00 60.00 60.00°
Atoms (fractional coordinates):
Sb1 0.2500 0.2500 0.2500
Sn1 0.7500 0.7500 0.7500
Zr1 0.0000 0.0000 0.0000

Below is HfTcNiSb after structural relaxation, with properties calculated at the PBE-GGA level.

Output
- Uncorrected energy: -30.9 eV/cell
- Relative energy among the computed polymorphs: 0.0 kJ per mole of atoms

Cell: 4.5327 4.5327 4.5327 Å, 60.00 60.00 60.00°
Atoms (fractional coordinates):
Hf1 0.5000 0.5000 0.5000
Ni1 0.7500 0.7500 0.7500
Sb1 0.0000 0.0000 0.0000
Tc1 0.2500 0.2500 0.2500

Below is MgZrGaFe after structural relaxation, with properties calculated at the PBE-GGA level.

Output
- Uncorrected energy: -21.8 eV/cell
- Relative energy among the computed polymorphs: 0.0 kJ per mole of atoms

Cell: 4.4962 4.4962 4.4962 Å, 60.00 60.00 60.00°
Atoms (fractional coordinates):
Fe1 0.7500 0.7500 0.7500
Ga1 0.0000 0.0000 0.0000
Mg1 0.2500 0.2500 0.2500
Zr1 0.5000 0.5000 0.5000

Below is NbZnNO after structural relaxation, with properties calculated at the PBE-GGA level.

Output
- Uncorrected energy: -114.9 eV/cell
- Relative energy among the computed polymorphs: 0.0 kJ per mole of atoms

Cell: 5.8904 7.5491 4.3456 Å, 90.00 90.00 90.00°
Atoms (fractional coordinates):
N1 0.4348 0.3536 0.0512
N2 0.9348 0.6464 0.0512
N3 0.0652 0.3536 0.5512
N4 0.5652 0.6464 0.5512
Nb1 0.0810 0.3913 0.0511
Nb2 0.5810 0.6087 0.0511
Nb3 0.4190 0.3913 0.5511
Nb4 0.9190 0.6087 0.5511
O1 0.9338 0.1219 0.0502
O2 0.4338 0.8781 0.0502
O3 0.5662 0.1219 0.5502
O4 0.0662 0.8781 0.5502
Zn1 0.5888 0.1160 0.0499
Zn2 0.0888 0.8840 0.0499
Zn3 0.9112 0.1160 0.5499
Zn4 0.4112 0.8840 0.5499

Below is ReN2 after structural relaxation, with properties calculated at the PBE-GGA level.

Output
- Uncorrected energy: -113.3 eV/cell

Cell: 9.5387 2.8376 4.1504 Å, 90.00 90.00 90.00°
Atoms (fractional coordinates):
N1 0.1739 0.2500 0.0430
N2 0.9050 0.7500 0.2382
N3 0.4050 0.7500 0.2618
N4 0.6739 0.2500 0.4570
N5 0.3261 0.7500 0.5430
N6 0.5950 0.2500 0.7382
N7 0.0950 0.2500 0.7618
N8 0.8261 0.7500 0.9570
Re1 0.6086 0.7500 0.0994
Re2 0.1086 0.7500 0.4006
Re3 0.8914 0.2500 0.5994
Re4 0.3914 0.2500 0.9006

Below is TaGaNO after structural relaxation, with properties calculated at the PBE-GGA level.

Output
- Uncorrected energy: -63.3 eV/cell
- Relative energy among the computed polymorphs: 19.6 kJ per mole of atoms

Cell: 3.0571 5.9066 5.7102 Å, 90.00 90.00 90.00°
Atoms (fractional coordinates):
Ga1 0.5000 0.0070 0.2362
Ga2 0.5000 0.5070 0.7638
N1 0.0000 0.8075 0.3393
N2 0.0000 0.3075 0.6607
O1 0.5000 0.4616 0.0900
O2 0.5000 0.9616 0.9100
Ta1 0.0000 0.4779 0.3487
Ta2 0.0000 0.9779 0.6513

Below is HfTe2 after structural relaxation, with properties calculated at the PBE-GGA level.

Output
- Uncorrected energy: -71.2 eV/cell

Cell: 7.0895 7.0973 7.1160 Å, 90.00 90.00 90.00°
Atoms (fractional coordinates):
Hf1 0.0000 0.0000 0.0000
Hf2 0.5000 0.5000 0.0000
Hf3 0.5000 0.0000 0.5000
Hf4 0.0000 0.5000 0.5000
Te1 0.6439 0.1446 0.1448
Te2 0.8561 0.6446 0.1448
Te3 0.1439 0.1446 0.3552
Te4 0.3561 0.6446 0.3552
Te5 0.6439 0.3554 0.6448
Te6 0.8561 0.8554 0.6448
Te7 0.1439 0.3554 0.8552
Te8 0.3561 0.8554 0.8552

Below is Li2NdAs2 after structural relaxation, with properties calculated at the PBE-GGA level.

Output
- Uncorrected energy: -22.3 eV/cell

Cell: 4.2646 4.2646 6.9765 Å, 90.00 90.00 120.00°
Atoms (fractional coordinates):
As1 0.3333 0.6667 0.2461
As2 0.6667 0.3333 0.7539
Li1 0.6667 0.3333 0.3754
Li2 0.3333 0.6667 0.6246
Nd1 0.0000 0.0000 0.0000

Below is LiBeFeRe after structural relaxation, with properties calculated at the PBE-GGA level.

Output
- Uncorrected energy: -26.2 eV/cell
- Relative energy among the computed polymorphs: 0.0 kJ per mole of atoms

Cell: 3.9268 3.9268 3.9268 Å, 60.00 60.00 60.00°
Atoms (fractional coordinates):
Be1 0.7500 0.7500 0.7500
Fe1 0.0000 0.0000 0.0000
Li1 0.5000 0.5000 0.5000
Re1 0.2500 0.2500 0.2500

Below is SbPtO3 after structural relaxation, with properties calculated at the PBE-GGA level.

Output
- Uncorrected energy: -25.8 eV/cell

Cell: 4.0226 4.0226 4.0226 Å, 90.00 90.00 90.00°
Atoms (fractional coordinates):
O1 0.5000 0.5000 0.0000
O2 0.5000 0.0000 0.5000
O3 0.0000 0.5000 0.5000
Pt1 0.5000 0.5000 0.5000
Sb1 0.0000 0.0000 0.0000

Below is CdHPd3 after structural relaxation, with properties calculated at the PBE-GGA level.

Output
- Uncorrected energy: -21.3 eV/cell

Cell: 4.0763 4.0763 4.0763 Å, 90.00 90.00 90.00°
Atoms (fractional coordinates):
Cd1 0.5000 0.5000 0.5000
H1 0.0000 0.0000 0.0000
Pd1 0.5000 0.0000 0.0000
Pd2 0.0000 0.5000 0.0000
Pd3 0.0000 0.0000 0.5000

Below is LiAg2Pb after structural relaxation, with properties calculated at the PBE-GGA level.

Output
- Uncorrected energy: -11.7 eV/cell

Cell: 4.8116 4.8116 4.8116 Å, 60.00 60.00 60.00°
Atoms (fractional coordinates):
Ag1 0.0000 0.0000 0.0000
Ag2 0.7500 0.7500 0.7500
Li1 0.2500 0.2500 0.2500
Pb1 0.5000 0.5000 0.5000

Below is TbTmTl after structural relaxation, with properties calculated at the PBE-GGA level.

Output
- Uncorrected energy: -11.6 eV/cell
- Relative energy among the computed polymorphs: 0.0 kJ per mole of atoms

Cell: 5.1341 5.1341 5.1341 Å, 60.00 60.00 60.00°
Atoms (fractional coordinates):
Tb1 0.2500 0.2500 0.2500
Tl1 0.0000 0.0000 0.0000
Tm1 0.7500 0.7500 0.7500

Below is BeTlBiOs after structural relaxation, with properties calculated at the PBE-GGA level.

Output
- Uncorrected energy: -17.2 eV/cell
- Relative energy among the computed polymorphs: 0.0 kJ per mole of atoms

Cell: 4.7714 4.7714 4.7714 Å, 60.00 60.00 60.00°
Atoms (fractional coordinates):
Be1 0.7500 0.7500 0.7500
Bi1 0.0000 0.0000 0.0000
Os1 0.2500 0.2500 0.2500
Tl1 0.5000 0.5000 0.5000

Below is HfTlCo after structural relaxation, with properties calculated at the PBE-GGA level.

Output
- Uncorrected energy: -19.0 eV/cell
- Relative energy among the computed polymorphs: 0.0 kJ per mole of atoms

Cell: 4.3804 4.3804 4.3804 Å, 60.00 60.00 60.00°
Atoms (fractional coordinates):
Co1 0.0000 0.0000 0.0000
Hf1 0.2500 0.2500 0.2500
Tl1 0.7500 0.7500 0.7500

Below is PuZnCo after structural relaxation, with properties calculated at the PBE-GGA level.

Output
- Energy relative to the elements: 85 meV/atom
- Uncorrected energy: -22.2 eV/cell
- Relative energy among the computed polymorphs: 0.0 kJ per mole of atoms

Cell: 4.2445 4.2445 4.2445 Å, 60.00 60.00 60.00°
Atoms (fractional coordinates):
Co1 0.0000 0.0000 0.0000
Pu1 0.2500 0.2500 0.2500
Zn1 0.7500 0.7500 0.7500

Below is ReGeAs after structural relaxation, with properties calculated at the PBE-GGA level.

Output
- Uncorrected energy: -20.4 eV/cell
- Relative energy among the computed polymorphs: 46.2 kJ per mole of atoms

Cell: 4.2595 4.2595 4.2595 Å, 60.00 60.00 60.00°
Atoms (fractional coordinates):
As1 0.2500 0.2500 0.2500
Ge1 0.7500 0.7500 0.7500
Re1 0.0000 0.0000 0.0000

Below is AgHg2As after structural relaxation, with properties calculated at the PBE-GGA level.

Output
- Uncorrected energy: -7.0 eV/cell

Cell: 4.9627 4.9627 4.9627 Å, 60.00 60.00 60.00°
Atoms (fractional coordinates):
Ag1 0.2500 0.2500 0.2500
As1 0.5000 0.5000 0.5000
Hg1 0.0000 0.0000 0.0000
Hg2 0.7500 0.7500 0.7500